Below is a relaxed structure of SrAc2CoO6, with properties calculated at the PBE+U level.

a b c (Å): 5.846 6.002 8.375
angles (deg): 90.00 91.30 90.00
Site moments in Bohr magnetons follow the coordinates.
Atoms (fractional coordinates):
Ac1 0.485 0.453 0.250  0.01
O1 0.177 0.237 0.059  -0.02
Co1 0.000 0.500 0.000  1.14
Ac2 0.015 0.953 0.250  0.01
O2 0.596 0.038 0.281  -0.02
O3 0.823 0.763 0.941  -0.02
O4 0.677 0.263 0.559  -0.02
O5 0.238 0.181 0.453  -0.01
Ac3 0.515 0.547 0.750  0.01
O6 0.262 0.681 0.047  -0.01
Sr1 0.500 0.000 0.000  -0.01
Co2 0.500 0.000 0.500  1.14
Ac4 0.985 0.047 0.750  0.01
O7 0.323 0.737 0.441  -0.02
Sr2 0.000 0.500 0.500  -0.01
O8 0.404 0.962 0.719  -0.02
O9 0.904 0.538 0.219  -0.02
O10 0.096 0.462 0.781  -0.02
O11 0.762 0.819 0.547  -0.01
O12 0.738 0.319 0.953  -0.01

The symmetry is P2_1/c, No. 14. For the energy, the calculation gives -138.0 eV/cell.